[1]
Computed, not measured: a relaxed Er2Al2BOs2 crystal at the GGA-PBE level of DFT.

It has space group C2/m (No. 12), with a = 10.977 Å, b = 4.075 Å, c = 7.013 Å, α = 90.00°, β = 125.96° and γ = 90.00°. The distinct sites, in fractional coordinates, are Er at (0.069, 0.000, 0.294), Al at (0.144, 0.500, 0.684), B at (0.000, 0.500, 0.000) and Os at (0.208, 0.500, 0.093).

For the raw total energy, the calculation gives -7.0038 eV per atom. The formation energy is -0.47 eV per atom.

=====

[2]
Computed, not measured: a relaxed WI2N2 crystal at the GGA-PBE level of DFT.

It has space group P4/mmm (No. 123), with a = 4.104 Å, b = 4.104 Å, c = 5.972 Å, α = 90.00°, β = 90.00° and γ = 90.00°. The distinct sites, in fractional coordinates, are W at (0.000, 0.000, 0.000), I at (0.000, 0.000, 0.500), I at (0.500, 0.500, 0.500) and N at (0.000, 0.500, 0.000).

As for the energy above the lowest structure with this stoichiometry: 0 meV/atom. For the raw total energy, the calculation gives -5.6333 eV per atom. As for the formation energy from raw total energies: 87.57 kJ per mole of atoms.

=====

[3]
Computed, not measured: a relaxed Rb2AgGeCl6 crystal at the GGA-PBE level of DFT.

It has space group I4/mmm (No. 139), with a = 7.315 Å, b = 7.315 Å, c = 10.408 Å, α = 90.00°, β = 90.00° and γ = 90.00°. The distinct sites, in fractional coordinates, are Rb at (0.000, 0.500, 0.250), Ag at (0.000, 0.000, 0.000), Ge at (0.000, 0.000, 0.500), Cl at (0.000, 0.000, 0.259) and Cl at (0.242, 0.242, 0.500).

For the raw total energy, the calculation gives -3.2655 eV per atom. As for the formation energy from raw total energies: -117.44 kJ per mole of atoms.

=====

Question: Which of these has the highest raw total energy?
Answer: Rb2AgGeCl6

=====

Copy entry 2 word for word.
Computed, not measured: a relaxed WI2N2 crystal at the GGA-PBE level of DFT.

It has space group P4/mmm (No. 123), with a = 4.104 Å, b = 4.104 Å, c = 5.972 Å, α = 90.00°, β = 90.00° and γ = 90.00°. The distinct sites, in fractional coordinates, are W at (0.000, 0.000, 0.000), I at (0.000, 0.000, 0.500), I at (0.500, 0.500, 0.500) and N at (0.000, 0.500, 0.000).

As for the energy above the lowest structure with this stoichiometry: 0 meV/atom. For the raw total energy, the calculation gives -5.6333 eV per atom. As for the formation energy from raw total energies: 87.57 kJ per mole of atoms.